[1]
A plane-wave DFT calculation with GGA-PBE was carried out for a relaxed Ce5Ga2Sb2 crystal.

Output
For the density of states at the Fermi level, the calculation gives 22.8 states/eV/f.u. The value obtained for the calculated volume is 474.3 Å³/cell. The value obtained for the mass density is 7.59 g cm⁻³. As for the spin magnetization: 2.90 μB per formula unit. As for the raw formation energy: -10.1 kcal/mol of atoms. For the energy above the most stable polymorph in this dataset, the calculation gives 0.229 eV/atom. The value obtained for the total DFT energy (no corrections) is -95.8 eV for the cell shown.

Lattice parameters (Å, degrees): 10.4465 10.4465 10.4465 61.78 147.13 129.27
Sites, in units of the cell vectors:
Ce1 0.1198 0.0736 0.1934
Ce2 0.1198 0.4264 0.5461
Ce3 0.2066 0.0404 0.6662
Ce4 0.3741 0.5404 0.3338
Ce5 0.5876 0.8176 0.1202
Ce6 0.5876 0.9675 0.2701
Ce7 0.6974 0.3176 0.7299
Ce8 0.6974 0.4675 0.8798
Ce9 0.8802 0.5736 0.4539
Ce10 0.8802 0.9264 0.8066
Ga1 0.6963 0.1963 0.5000
Ga2 0.6963 0.6963 0.0000
Ga3 0.9333 0.2127 0.2206
Ga4 0.9920 0.7127 0.7794
Sb1 0.2252 0.4199 0.9698
Sb2 0.2252 0.7554 0.3053
Sb3 0.4501 0.2554 0.0302
Sb4 0.4501 0.9199 0.6947

***

[2]
A plane-wave DFT calculation with GGA-PBE was carried out for a relaxed Ce3GaSb4 crystal.

Output
For the density of states at the Fermi level, the calculation gives 19.7 states/eV/f.u. The value obtained for the calculated volume is 251.9 Å³/cell. The value obtained for the mass density is 6.44 g cm⁻³. As for the spin magnetization: 1.91 μB per formula unit. As for the raw formation energy: -15.3 kcal/mol of atoms. The value obtained for the total DFT energy (no corrections) is -42.6 eV for the cell shown.

Lattice parameters (Å, degrees): 6.3151 6.3151 6.3151 90.00 90.00 90.00
Sites, in units of the cell vectors:
Ce1 0.0000 0.0000 0.5000
Ce2 0.0000 0.5000 0.0000
Ce3 0.5000 0.0000 0.0000
Ga1 0.5000 0.5000 0.5000
Sb1 0.0000 0.0000 0.0000
Sb2 0.0000 0.5000 0.5000
Sb3 0.5000 0.0000 0.5000
Sb4 0.5000 0.5000 0.0000

***

[3]
A plane-wave DFT calculation with GGA-PBE was carried out for a relaxed Ce5Ga2Sb2 crystal.

Output
For the density of states at the Fermi level, the calculation gives 23.8 states/eV/f.u. The value obtained for the calculated volume is 513.2 Å³/cell. The value obtained for the mass density is 7.01 g cm⁻³. As for the spin magnetization: 5.90 μB per formula unit. As for the raw formation energy: -15.4 kcal/mol of atoms. For the energy above the most stable polymorph in this dataset, the calculation gives 0.000 eV/atom. The value obtained for the total DFT energy (no corrections) is -99.9 eV for the cell shown.

Lattice parameters (Å, degrees): 8.7775 8.7775 8.1084 90.00 90.00 55.24
Sites, in units of the cell vectors:
Ce1 0.0000 0.0000 0.0000
Ce2 0.0471 0.6894 0.6774
Ce3 0.1894 0.5471 0.1774
Ce4 0.3106 0.9529 0.6774
Ce5 0.4529 0.8106 0.1774
Ce6 0.5000 0.5000 0.5000
Ce7 0.5471 0.1894 0.8226
Ce8 0.6894 0.0471 0.3226
Ce9 0.8106 0.4529 0.8226
Ce10 0.9529 0.3106 0.3226
Ga1 0.1160 0.8840 0.3836
Ga2 0.3840 0.6160 0.8836
Ga3 0.6160 0.3840 0.1164
Ga4 0.8840 0.1160 0.6164
Sb1 0.2093 0.2093 0.0000
Sb2 0.2907 0.2907 0.5000
Sb3 0.7093 0.7093 0.5000
Sb4 0.7907 0.7907 0.0000

***

[4]
A plane-wave DFT calculation with GGA-PBE was carried out for a relaxed Ce4GaSb5 crystal.

Output
For the density of states at the Fermi level, the calculation gives 21.2 states/eV/f.u. The value obtained for the calculated volume is 289.4 Å³/cell. The value obtained for the mass density is 7.11 g cm⁻³. As for the spin magnetization: 2.36 μB per formula unit. As for the raw formation energy: -18.6 kcal/mol of atoms. The value obtained for the total DFT energy (no corrections) is -55.4 eV for the cell shown.

Lattice parameters (Å, degrees): 8.5570 8.5570 8.3823 109.69 109.69 30.21
Sites, in units of the cell vectors:
Ce1 0.0636 0.0636 0.2958
Ce2 0.3133 0.3133 0.2412
Ce3 0.6867 0.6867 0.7588
Ce4 0.9364 0.9364 0.7042
Ga1 0.5000 0.5000 0.0000
Sb1 0.1268 0.1268 0.9674
Sb2 0.2917 0.2917 0.6523
Sb3 0.5000 0.5000 0.5000
Sb4 0.7083 0.7083 0.3477
Sb5 0.8732 0.8732 0.0326

***

[5]
A plane-wave DFT calculation with GGA-PBE was carried out for a relaxed Ce2GaSb crystal.

Output
For the density of states at the Fermi level, the calculation gives 13.1 states/eV/f.u. The value obtained for the calculated volume is 221.0 Å³/cell. The value obtained for the mass density is 7.09 g cm⁻³. As for the spin magnetization: 1.96 μB per formula unit. As for the raw formation energy: -15.4 kcal/mol of atoms. For the energy above the most stable polymorph in this dataset, the calculation gives 0.025 eV/atom. The value obtained for the total DFT energy (no corrections) is -43.4 eV for the cell shown.

Lattice parameters (Å, degrees): 6.1581 4.2382 8.9092 90.00 108.12 90.00
Sites, in units of the cell vectors:
Ce1 0.1977 0.2500 0.4269
Ce2 0.2847 0.7500 0.0638
Ce3 0.7153 0.2500 0.9362
Ce4 0.8023 0.7500 0.5731
Ga1 0.1139 0.2500 0.7947
Ga2 0.8861 0.7500 0.2053
Sb1 0.3761 0.7500 0.7085
Sb2 0.6239 0.2500 0.2915

***

[6]
A plane-wave DFT calculation with GGA-PBE was carried out for a relaxed CeGaSb2 crystal.

Output
For the density of states at the Fermi level, the calculation gives 7.3 states/eV/f.u. The value obtained for the calculated volume is 113.4 Å³/cell. The value obtained for the mass density is 6.64 g cm⁻³. As for the spin magnetization: 1.20 μB per formula unit. As for the raw formation energy: 3.4 kcal/mol of atoms. For the energy above the most stable polymorph in this dataset, the calculation gives 0.747 eV/atom. The value obtained for the total DFT energy (no corrections) is -16.6 eV for the cell shown.

Lattice parameters (Å, degrees): 10.4106 10.4106 10.4106 19.81 19.81 19.81
Sites, in units of the cell vectors:
Ce1 0.0000 0.0000 0.0000
Ga1 0.5000 0.5000 0.5000
Sb1 0.1029 0.1029 0.1029
Sb2 0.8971 0.8971 0.8971

***

[7]
A plane-wave DFT calculation with GGA-PBE was carried out for a relaxed Ce7Ga3Sb crystal.

Output
For the density of states at the Fermi level, the calculation gives 33.8 states/eV/f.u. The value obtained for the calculated volume is 302.8 Å³/cell. The value obtained for the mass density is 7.19 g cm⁻³. As for the spin magnetization: 6.06 μB per formula unit. As for the raw formation energy: -8.0 kcal/mol of atoms. The value obtained for the total DFT energy (no corrections) is -58.6 eV for the cell shown.

Lattice parameters (Å, degrees): 7.8440 7.8440 7.8440 136.11 109.18 87.18
Sites, in units of the cell vectors:
Ce1 0.0000 0.0000 0.0000
Ce2 0.1083 0.7635 0.3448
Ce3 0.3483 0.5000 0.8483
Ce4 0.4187 0.7635 0.6552
Ce5 0.5813 0.2365 0.3448
Ce6 0.6517 0.5000 0.1517
Ce7 0.8917 0.2365 0.6552
Ga1 0.2631 0.2631 0.0000
Ga2 0.5000 0.0000 0.5000
Ga3 0.7369 0.7369 0.0000
Sb1 0.0000 0.5000 0.5000

***

[8]
A plane-wave DFT calculation with GGA-PBE was carried out for a relaxed Ce4GaSb crystal.

Output
For the density of states at the Fermi level, the calculation gives 14.8 states/eV/f.u. The value obtained for the calculated volume is 335.0 Å³/cell. The value obtained for the mass density is 7.45 g cm⁻³. As for the spin magnetization: 2.89 μB per formula unit. As for the raw formation energy: -9.1 kcal/mol of atoms. For the energy above the most stable polymorph in this dataset, the calculation gives 0.000 eV/atom. The value obtained for the total DFT energy (no corrections) is -66.5 eV for the cell shown.

Lattice parameters (Å, degrees): 8.5981 8.5981 7.7084 103.83 103.83 37.41
Sites, in units of the cell vectors:
Ce1 0.0242 0.8324 0.5308
Ce2 0.1509 0.5253 0.8950
Ce3 0.1676 0.9758 0.9692
Ce4 0.4747 0.8491 0.6050
Ce5 0.5253 0.1509 0.3950
Ce6 0.8324 0.0242 0.0308
Ce7 0.8491 0.4747 0.1050
Ce8 0.9758 0.1676 0.4692
Ga1 0.0000 0.5000 0.5000
Ga2 0.5000 0.0000 0.0000
Sb1 0.4095 0.5905 0.2500
Sb2 0.5905 0.4095 0.7500

***

[9]
A plane-wave DFT calculation with GGA-PBE was carried out for a relaxed Ce3GaSb2 crystal.

Output
For the density of states at the Fermi level, the calculation gives 15.0 states/eV/f.u. The value obtained for the calculated volume is 206.7 Å³/cell. The value obtained for the mass density is 5.89 g cm⁻³. As for the spin magnetization: 1.27 μB per formula unit. As for the raw formation energy: -11.4 kcal/mol of atoms. The value obtained for the total DFT energy (no corrections) is -32.0 eV for the cell shown.

Lattice parameters (Å, degrees): 7.9366 7.9366 4.5552 90.00 90.00 133.92
Sites, in units of the cell vectors:
Ce1 0.0000 0.0000 0.0000
Ce2 0.3645 0.6355 0.5000
Ce3 0.6355 0.3645 0.5000
Ga1 0.5000 0.5000 0.0000
Sb1 0.1516 0.8484 0.5000
Sb2 0.8484 0.1516 0.5000

***

[10]
A plane-wave DFT calculation with GGA-PBE was carried out for a relaxed CeGaSb2 crystal.

Output
For the density of states at the Fermi level, the calculation gives 4.8 states/eV/f.u. The value obtained for the calculated volume is 103.6 Å³/cell. The value obtained for the mass density is 7.27 g cm⁻³. As for the spin magnetization: 0.58 μB per formula unit. As for the raw formation energy: -12.0 kcal/mol of atoms. For the energy above the most stable polymorph in this dataset, the calculation gives 0.076 eV/atom. The value obtained for the total DFT energy (no corrections) is -19.3 eV for the cell shown.

Lattice parameters (Å, degrees): 4.0815 4.0815 6.2199 90.00 90.00 90.00
Sites, in units of the cell vectors:
Ce1 0.0000 0.0000 0.0000
Ga1 0.0000 0.0000 0.5000
Sb1 0.5000 0.5000 0.2567
Sb2 0.5000 0.5000 0.7433

***

[11]
A plane-wave DFT calculation with GGA-PBE was carried out for a relaxed Ce4Ga2Sb crystal.

Output
For the density of states at the Fermi level, the calculation gives 18.1 states/eV/f.u. The value obtained for the calculated volume is 377.5 Å³/cell. The value obtained for the mass density is 7.23 g cm⁻³. As for the spin magnetization: 2.66 μB per formula unit. As for the raw formation energy: -12.2 kcal/mol of atoms. The value obtained for the total DFT energy (no corrections) is -75.2 eV for the cell shown.

Lattice parameters (Å, degrees): 7.8888 7.8888 7.8888 111.62 108.46 108.36
Sites, in units of the cell vectors:
Ce1 0.0037 0.8413 0.4739
Ce2 0.0183 0.3505 0.4936
Ce3 0.1431 0.1495 0.1678
Ce4 0.3569 0.5247 0.0064
Ce5 0.4817 0.9753 0.3322
Ce6 0.4963 0.9703 0.8376
Ce7 0.6327 0.6587 0.6624
Ce8 0.8673 0.5297 0.0261
Ga1 0.1117 0.7500 0.8617
Ga2 0.2500 0.6172 0.3672
Ga3 0.3883 0.2500 0.6383
Ga4 0.7500 0.8828 0.1328
Sb1 0.6204 0.3704 0.2500
Sb2 0.8796 0.1296 0.7500

***

[12]
A plane-wave DFT calculation with GGA-PBE was carried out for a relaxed Ce2GaSb crystal.

Output
For the density of states at the Fermi level, the calculation gives 12.1 states/eV/f.u. The value obtained for the calculated volume is 119.8 Å³/cell. The value obtained for the mass density is 6.54 g cm⁻³. As for the spin magnetization: 1.41 μB per formula unit. As for the raw formation energy: -13.2 kcal/mol of atoms. For the energy above the most stable polymorph in this dataset, the calculation gives 0.122 eV/atom. The value obtained for the total DFT energy (no corrections) is -21.3 eV for the cell shown.

Lattice parameters (Å, degrees): 7.8885 7.8885 7.8885 31.62 31.62 31.62
Sites, in units of the cell vectors:
Ce1 0.2478 0.2478 0.2478
Ce2 0.7522 0.7522 0.7522
Ga1 0.5000 0.5000 0.5000
Sb1 0.0000 0.0000 0.0000